The following is a PBE calculation of Rb2AgI2Cl2 after structural relaxation, from Alexandria via LeMat-Bulk.

a = 9.6859 Å, b = 9.6859 Å, c = 9.6859 Å
α = 147.70°, β = 147.70°, γ = 46.33°
Atoms (fractional coordinates):
Rb 0.1212 0.1212 0.0000
Rb 0.8788 0.8788 0.0000
Ag 0.5000 0.5000 0.0000
I 0.3402 0.3402 0.0000
I 0.6598 0.6598 0.0000
Cl 0.0000 0.5000 0.5000
Cl 0.5000 0.0000 0.5000

Space-group type   No. 139
Spin magnetization   0.0 μB/f.u.
Density of states at the Fermi level   3.58 states/eV/cell
Formation energy from raw total energies   -740 kJ/mol of formula units
Uncorrected energy   -2.75 eV per atom